[1]
Compound: Ac2PaTe5
Source: the Alexandria database
Functional: PBE-GGA
Structure: relaxed

DOS(E_F)   12.10 states/eV per cell
Final energy   -5.459 eV/atom
Formation energy without anion corrections   -1.28 eV/atom
SG   Pbam (55)

Cell lengths 9.1247, 13.7090, 4.5849 Å; angles 90.00, 90.00, 90.00 degrees
Sites, in units of the cell vectors:
Ac (0.0396, 0.1755, 0.0000)
Ac (0.4604, 0.6755, 0.0000)
Ac (0.5396, 0.3245, 0.0000)
Ac (0.9604, 0.8245, 0.0000)
Pa (0.0000, 0.5000, 0.5000)
Pa (0.5000, 0.0000, 0.5000)
Te (0.0000, 0.0000, 0.5000)
Te (0.1698, 0.6971, 0.5000)
Te (0.1757, 0.4086, 0.0000)
Te (0.3243, 0.9086, 0.0000)
Te (0.3302, 0.1971, 0.5000)
Te (0.5000, 0.5000, 0.5000)
Te (0.6698, 0.8029, 0.5000)
Te (0.6757, 0.0914, 0.0000)
Te (0.8243, 0.5914, 0.0000)
Te (0.8302, 0.3029, 0.5000)

=====

[2]
Compound: Yb4Ni13C4
Source: the Alexandria database
Functional: PBE-GGA
Structure: relaxed

DOS(E_F)   70.48 states/eV per cell
Final energy   -5.835 eV/atom
SG   Cmmm (65)
E_form   -209 meV per atom

Cell lengths 8.3759, 8.3759, 3.8763 Å; angles 90.00, 90.00, 90.80 degrees
Sites, in units of the cell vectors:
Yb (0.1919, 0.8081, 0.0000)
Yb (0.3518, 0.3518, 0.0000)
Yb (0.6482, 0.6482, 0.0000)
Yb (0.8081, 0.1919, 0.0000)
Ni (0.0000, 0.0000, 0.5000)
Ni (0.0000, 0.5000, 0.0000)
Ni (0.0730, 0.2898, 0.5000)
Ni (0.1220, 0.1220, 0.0000)
Ni (0.2149, 0.5694, 0.5000)
Ni (0.2898, 0.0730, 0.5000)
Ni (0.4306, 0.7851, 0.5000)
Ni (0.5000, 0.0000, 0.0000)
Ni (0.5694, 0.2149, 0.5000)
Ni (0.7102, 0.9270, 0.5000)
Ni (0.7851, 0.4306, 0.5000)
Ni (0.8780, 0.8780, 0.0000)
Ni (0.9270, 0.7102, 0.5000)
C (0.0000, 0.5000, 0.5000)
C (0.4432, 0.5568, 0.5000)
C (0.5000, 0.0000, 0.5000)
C (0.5568, 0.4432, 0.5000)

=====

[3]
Compound: Hf2Ga6Ir
Source: the Alexandria database
Functional: PBE-GGA
Structure: relaxed

DOS(E_F)   4.42 states/eV per cell
Final energy   -5.422 eV/atom
SG   C2/m (12)
E_form   -207 meV per atom

Cell lengths 5.9878, 5.9878, 5.3001 Å; angles 111.47, 111.47, 72.11 degrees
Sites, in units of the cell vectors:
Hf (0.2030, 0.2030, 0.0920)
Hf (0.7970, 0.7970, 0.9080)
Ga (0.0223, 0.6676, 0.4280)
Ga (0.3194, 0.6806, 0.0000)
Ga (0.3324, 0.9777, 0.5720)
Ga (0.6676, 0.0223, 0.4280)
Ga (0.6806, 0.3194, 0.0000)
Ga (0.9777, 0.3324, 0.5720)
Ir (0.5000, 0.5000, 0.5000)

=====

[4]
Compound: PmThAuC
Source: the Alexandria database
Functional: PBE-GGA
Structure: relaxed

DOS(E_F)   3.57 states/eV per cell
Final energy   -6.599 eV/atom
SG   Cm (8)
E_form   -431 meV per atom

Cell lengths 3.7574, 3.7574, 7.8036 Å; angles 104.00, 104.00, 59.83 degrees
Sites, in units of the cell vectors:
Pm (0.0000, 0.0000, 0.0000)
Th (0.2036, 0.2036, 0.6131)
Au (0.7684, 0.7684, 0.3044)
C (0.5978, 0.5978, 0.7941)

=====

[5]
Compound: KCa2MgAg
Source: the Alexandria database
Functional: PBE-GGA
Structure: relaxed

DOS(E_F)   4.08 states/eV per cell
Final energy   -1.897 eV/atom
SG   P4/mmm (123)
E_form   12 meV per atom

Cell lengths 5.9470, 5.9470, 5.3831 Å; angles 90.00, 90.00, 90.00 degrees
Sites, in units of the cell vectors:
K (0.0000, 0.0000, 0.0000)
Ca (0.0000, 0.5000, 0.5000)
Ca (0.5000, 0.0000, 0.5000)
Mg (0.5000, 0.5000, 0.0000)
Ag (0.5000, 0.5000, 0.5000)

=====

[6]
Compound: Rb2TaVBr6
Source: the Alexandria database
Functional: PBE-GGA
Structure: relaxed

DOS(E_F)   11.91 states/eV per cell
Final energy   -4.162 eV/atom
Formation energy without anion corrections   -0.87 eV/atom
SG   Fm-3m (225)

Cell lengths 7.6307, 7.6307, 7.6307 Å; angles 60.00, 60.00, 60.00 degrees
Sites, in units of the cell vectors:
Rb (0.2500, 0.2500, 0.2500)
Rb (0.7500, 0.7500, 0.7500)
Ta (0.0000, 0.0000, 0.0000)
V (0.5000, 0.5000, 0.5000)
Br (0.2490, 0.2490, 0.7510)
Br (0.2490, 0.7510, 0.2490)
Br (0.2490, 0.7510, 0.7510)
Br (0.7510, 0.2490, 0.2490)
Br (0.7510, 0.2490, 0.7510)
Br (0.7510, 0.7510, 0.2490)

=====

[7]
Compound: SrReAs2Se
Source: the Alexandria database
Functional: PBE-GGA
Structure: relaxed

DOS(E_F)   3.29 states/eV per cell
Final energy   -5.634 eV/atom
Formation energy without anion corrections   -0.25 eV/atom
SG   P4/mmm (123)

Cell lengths 4.7109, 4.7109, 5.8724 Å; angles 90.00, 90.00, 90.00 degrees
Sites, in units of the cell vectors:
Sr (0.0000, 0.0000, 0.0000)
Re (0.5000, 0.5000, 0.5000)
As (0.0000, 0.5000, 0.5000)
As (0.5000, 0.0000, 0.5000)
Se (0.5000, 0.5000, 0.0000)

=====

[8]
Compound: CrTcIrOs2
Source: the Alexandria database
Functional: PBE-GGA
Structure: relaxed

DOS(E_F)   8.82 states/eV per cell
Final energy   -7.868 eV/atom
SG   P4/mmm (123)
E_form   2394 meV per atom

Cell lengths 4.6228, 4.6228, 4.6602 Å; angles 90.00, 90.00, 90.00 degrees
Sites, in units of the cell vectors:
Cr (0.0000, 0.0000, 0.0000)
Tc (0.5000, 0.5000, 0.5000)
Ir (0.5000, 0.5000, 0.0000)
Os (0.0000, 0.5000, 0.5000)
Os (0.5000, 0.0000, 0.5000)

=====

What did the second record say?
Compound: Yb4Ni13C4
Source: the Alexandria database
Functional: PBE-GGA
Structure: relaxed

DOS(E_F)   70.48 states/eV per cell
Final energy   -5.835 eV/atom
SG   Cmmm (65)
E_form   -209 meV per atom

Cell lengths 8.3759, 8.3759, 3.8763 Å; angles 90.00, 90.00, 90.80 degrees
Sites, in units of the cell vectors:
Yb (0.1919, 0.8081, 0.0000)
Yb (0.3518, 0.3518, 0.0000)
Yb (0.6482, 0.6482, 0.0000)
Yb (0.8081, 0.1919, 0.0000)
Ni (0.0000, 0.0000, 0.5000)
Ni (0.0000, 0.5000, 0.0000)
Ni (0.0730, 0.2898, 0.5000)
Ni (0.1220, 0.1220, 0.0000)
Ni (0.2149, 0.5694, 0.5000)
Ni (0.2898, 0.0730, 0.5000)
Ni (0.4306, 0.7851, 0.5000)
Ni (0.5000, 0.0000, 0.0000)
Ni (0.5694, 0.2149, 0.5000)
Ni (0.7102, 0.9270, 0.5000)
Ni (0.7851, 0.4306, 0.5000)
Ni (0.8780, 0.8780, 0.0000)
Ni (0.9270, 0.7102, 0.5000)
C (0.0000, 0.5000, 0.5000)
C (0.4432, 0.5568, 0.5000)
C (0.5000, 0.0000, 0.5000)
C (0.5568, 0.4432, 0.5000)